[1]
VASP calculation (PBE) on crystalline Pr5Sm3Ho3 at its relaxed geometry.

Space group: P-62m
Relative energy among the computed polymorphs in meV per atom: 443
Crystal system: hexagonal
Volume in Å³/cell: 462.8
Spin magnetization in μB/atom: 0.0353
Formation energy in eV/f.u.: 8.23
Calculated total energy in eV/cell: -43.563

abc: 5.5043 9.8529 9.8529
angles: 120.00 90.00 90.00
Fractional positions:
Sm (0.0000, 0.5689, 0.0000)
Pr (0.5000, 0.0000, 0.7341)
Pr (0.5000, 0.2659, 0.2659)
Ho (0.5000, 0.6338, 0.6338)
Ho (0.5000, 0.0000, 0.3662)
Pr (0.5000, 0.3333, 0.6667)
Pr (0.5000, 0.7341, 0.0000)
Pr (0.5000, 0.6667, 0.3333)
Sm (0.0000, 0.4311, 0.4311)
Sm (0.0000, 0.0000, 0.5689)
Ho (0.5000, 0.3662, 0.0000)

---

[2]
VASP calculation (PBE) on crystalline PrSm5Ho3 at its relaxed geometry.

Space group: C2/m
Relative energy among the computed polymorphs in meV per atom: 233
Crystal system: monoclinic
Volume in Å³/cell: 646.3
Spin magnetization in μB/atom: 0.0000
Formation energy in eV/f.u.: 3.69
Calculated total energy in eV/cell: -76.828

abc: 9.4277 9.4277 12.8649
angles: 51.57 51.57 51.29
Fractional positions:
Ho (0.0000, 0.0000, 0.0000)
Ho (0.8327, 0.8327, 0.3407)
Sm (0.0830, 0.4900, 0.7767)
Sm (0.4900, 0.0830, 0.7767)
Sm (0.6809, 0.3191, 0.0000)
Pr (0.1036, 0.1036, 0.1341)
Sm (0.4415, 0.4415, 0.4276)
Ho (0.7015, 0.7015, 0.6835)
Sm (0.5100, 0.9170, 0.2233)
Ho (0.1673, 0.1673, 0.6593)
Sm (0.3684, 0.3684, 0.9349)
Sm (0.5585, 0.5585, 0.5724)
Sm (0.9170, 0.5100, 0.2233)
Sm (0.3191, 0.6809, 0.0000)
Sm (0.6316, 0.6316, 0.0651)
Pr (0.8964, 0.8964, 0.8659)
Ho (0.2985, 0.2985, 0.3165)
Ho (0.0000, 0.0000, 0.5000)